The following is a GGA+U calculation of an optimized crystal structure of PrCoRuO6, from Alexandria.

## Properties
Total DFT energy (no corrections): -6.981 eV/atom

```
9
Lattice="5.0844 0.0000 0.0000 -2.5422 4.4032 0.0000 0.0000 0.0000 5.1124" Properties=species:S:1:pos:R:3 pbc="T T T"
Pr 0.0000 0.0000 0.0000
Co 0.0000 2.9355 2.5562
Ru 2.5422 1.4677 2.5562
O -0.9317 1.6658 3.6224
O -1.5654 2.7635 1.4900
O 0.9317 1.6658 1.4900
O -0.6337 4.3772 3.6224
O 1.5654 2.7635 3.6224
O 0.6337 4.3772 1.4900
```